No. 1
! GGA-PBE La8CuRh2, optimized geometry; values from VASP
&SYSTEM
  ibrav = 0, nat = 11, ntyp = 3
/
ATOMIC_SPECIES
Cu 63.55 Cu.upf
La 138.91 La.upf
Rh 102.91 Rh.upf
ATOMIC_POSITIONS angstrom
Cu 1.310 0.093 -0.167
La 3.648 4.350 2.232
La 4.707 5.386 -2.000
La 3.669 0.556 1.902
La 0.795 4.126 4.788
La 0.375 2.325 1.468
La 0.270 6.111 1.779
La 3.150 2.515 -1.068
Rh 1.675 4.712 -0.155
Rh 2.382 2.038 3.899
La 5.834 1.128 4.456
CELL_PARAMETERS angstrom
6.508 0.104 -1.068
-2.076 6.876 -3.159
-0.155 -0.377 7.836
! - Raw total energy: -5.539 eV/atom
! - Calculated formation energy: -261 kJ/mol of formula units

No. 2
! GGA-PBE La2CuRh, optimized geometry; values from VASP
&SYSTEM
  ibrav = 0, nat = 4, ntyp = 3
/
ATOMIC_SPECIES
La 138.91 La.upf
Cu 63.55 Cu.upf
Rh 102.91 Rh.upf
ATOMIC_POSITIONS angstrom
La 3.129 0.943 1.091
La 1.471 0.444 4.006
Cu 10.679 3.219 2.779
Rh 6.332 1.909 2.151
CELL_PARAMETERS angstrom
6.574 0.011 -0.017
5.484 3.624 -0.017
1.410 0.425 4.031
! - Raw total energy: -5.674 eV/atom
! - Calculated formation energy: -134 kJ/mol of formula units

No. 3
! GGA-PBE La8CuRh5, optimized geometry; values from VASP
&SYSTEM
  ibrav = 0, nat = 14, ntyp = 3
/
ATOMIC_SPECIES
Rh 102.91 Rh.upf
La 138.91 La.upf
Cu 63.55 Cu.upf
ATOMIC_POSITIONS angstrom
Rh -3.243 3.455 2.330
La -2.506 3.188 5.090
La -1.376 -0.335 5.208
La 1.079 2.107 7.198
Rh -0.113 4.475 -0.303
La -3.907 0.694 2.065
Rh -0.987 -0.982 2.404
Rh -6.759 1.062 1.663
Rh 2.416 5.867 2.769
La -0.444 1.691 1.630
La -0.412 5.306 2.429
La 3.075 3.226 3.561
La -2.878 3.736 -0.537
Cu 0.301 2.553 4.370
CELL_PARAMETERS angstrom
-5.002 4.070 -4.460
-4.061 -4.249 5.189
4.776 4.880 3.854
! - Raw total energy: -6.359 eV/atom
! - Calculated formation energy: -844 kJ/mol of formula units

No. 4
! GGA-PBE LaCu2Rh, optimized geometry; values from VASP
&SYSTEM
  ibrav = 0, nat = 4, ntyp = 3
/
ATOMIC_SPECIES
La 138.91 La.upf
Rh 102.91 Rh.upf
Cu 63.55 Cu.upf
ATOMIC_POSITIONS angstrom
La 0.000 0.000 3.346
Rh 1.663 1.654 5.166
Cu 0.000 0.000 0.066
Cu 1.663 1.654 1.187
CELL_PARAMETERS angstrom
3.317 -0.010 0.000
0.008 3.317 0.000
0.000 0.000 6.510
! - Raw total energy: -5.226 eV/atom
! - Calculated formation energy: -42 kJ/mol of formula units

No. 5
! GGA-PBE LaCuRh2, optimized geometry; values from VASP
&SYSTEM
  ibrav = 0, nat = 4, ntyp = 3
/
ATOMIC_SPECIES
Cu 63.55 Cu.upf
La 138.91 La.upf
Rh 102.91 Rh.upf
ATOMIC_POSITIONS angstrom
Cu -2.569 -0.393 1.260
La -0.821 -2.709 0.571
Rh -2.262 -1.266 -1.475
Rh 0.000 0.000 0.000
CELL_PARAMETERS angstrom
-4.009 1.050 -0.786
-0.514 -3.582 -2.164
-1.129 -1.835 3.306
! - Raw total energy: -6.271 eV/atom
! - Calculated formation energy: -131 kJ/mol of formula units

No. 6
! GGA-PBE La2CuRh, optimized geometry; values from VASP
&SYSTEM
  ibrav = 0, nat = 8, ntyp = 3
/
ATOMIC_SPECIES
La 138.91 La.upf
Cu 63.55 Cu.upf
Rh 102.91 Rh.upf
ATOMIC_POSITIONS angstrom
La -3.787 -1.714 2.172
La -0.918 -3.563 3.832
La -5.335 -0.827 5.644
Cu -0.817 -1.937 1.265
Rh -2.247 -4.398 1.219
La 0.630 -4.450 0.359
Rh -2.458 -0.879 4.785
Cu -3.888 -3.340 4.738
CELL_PARAMETERS angstrom
-3.902 -1.784 -1.285
2.385 -5.385 0.232
-3.187 1.892 7.056
! - Raw total energy: -5.828 eV/atom
! - Calculated formation energy: -194 kJ/mol of formula units

No. 7
! GGA-PBE La2CuRh, optimized geometry; values from VASP
&SYSTEM
  ibrav = 0, nat = 4, ntyp = 3
/
ATOMIC_SPECIES
La 138.91 La.upf
Cu 63.55 Cu.upf
Rh 102.91 Rh.upf
ATOMIC_POSITIONS angstrom
La 2.267 1.760 1.933
Cu 2.267 3.767 4.191
Rh 0.000 3.774 2.461
La 0.000 5.779 4.901
CELL_PARAMETERS angstrom
4.535 0.000 0.000
0.000 4.027 0.009
0.000 2.005 5.386
! - Raw total energy: -5.808 eV/atom
! - Calculated formation energy: -186 kJ/mol of formula units

No. 8
! GGA-PBE LaCuRh2, optimized geometry; values from VASP
&SYSTEM
  ibrav = 0, nat = 4, ntyp = 3
/
ATOMIC_SPECIES
Rh 102.91 Rh.upf
La 138.91 La.upf
Cu 63.55 Cu.upf
ATOMIC_POSITIONS angstrom
Rh -1.647 4.132 3.061
La -1.481 6.299 5.685
Rh -3.226 6.123 3.759
Cu -0.494 2.100 1.895
CELL_PARAMETERS angstrom
-0.708 4.444 0.268
-3.177 1.612 2.762
1.910 2.342 4.550
! - Raw total energy: -6.320 eV/atom
! - Calculated formation energy: -150 kJ/mol of formula units

| no. | Fermi-level density of states (states/eV per atom) |
| --- | --- |
| 1 | 1.12 |
| 2 | 0.83 |
| 3 | 0.43 |
| 4 | 0.57 |
| 5 | 0.85 |
| 6 | 0.72 |
| 7 | 0.83 |
| 8 | 0.52 |